K2CeInS4: optimized geometry, GGA-PBE.

Cell: 7.0955 4.0884 7.7613 Å, 90.00 108.07 90.00°
With the nearest neighbours (Å) after each atom.
Element x y z (fractional)
K (0.0000, 0.0000, 0.0000)  6 S 3.23-3.27
K (0.5000, 0.5000, 0.0000)  6 S 3.19-3.21
Ce (0.0000, 0.5000, 0.5000)  6 S 2.82-2.84
In (0.5000, 0.0000, 0.5000)  6 S 2.75-2.80
S (0.2386, 0.0000, 0.7067)  1 In 2.80, 2 Ce 2.82
S (0.2762, 0.5000, 0.3021)  2 In 2.75, 1 Ce 2.84
S (0.7238, 0.5000, 0.6979)  2 In 2.75, 1 Ce 2.84
S (0.7614, 0.0000, 0.2933)  1 In 2.80, 2 Ce 2.82

Space-group type: No. 10
Electronic total energy, eV/atom: -4.736

TbCeCo2: optimized geometry, GGA-PBE.

Cell: 5.9968 6.0495 9.3591 Å, 90.00 111.63 90.00°
With the nearest neighbours (Å) after each atom.
Element x y z (fractional)
Tb (0.1931, 0.1407, 0.1493)  6 Co 2.79-3.12
Tb (0.1931, 0.8593, 0.6493)  6 Co 2.79-3.12
Tb (0.8069, 0.1407, 0.3507)  6 Co 2.79-3.12
Tb (0.8069, 0.8593, 0.8507)  6 Co 2.79-3.12
Ce (0.3046, 0.3651, 0.8444)  2 Co 2.21-2.35
Ce (0.3046, 0.6349, 0.3444)  2 Co 2.21-2.35
Ce (0.6954, 0.3651, 0.6556)  2 Co 2.21-2.35
Ce (0.6954, 0.6349, 0.1556)  2 Co 2.21-2.35
Co (0.1511, 0.3675, 0.5904)  1 Ce 2.21, 1 Co 2.43
Co (0.1511, 0.6325, 0.0904)  1 Ce 2.21, 1 Co 2.43
Co (0.3877, 0.1649, 0.4713)  1 Ce 2.35, 2 Co 2.36-2.43
Co (0.3877, 0.8351, 0.9713)  1 Ce 2.35, 2 Co 2.36-2.43
Co (0.6123, 0.1649, 0.0287)  1 Ce 2.35, 2 Co 2.36-2.43
Co (0.6123, 0.8351, 0.5287)  1 Ce 2.35, 2 Co 2.36-2.43
Co (0.8489, 0.3675, 0.9096)  1 Ce 2.21, 1 Co 2.43
Co (0.8489, 0.6325, 0.4096)  1 Ce 2.21, 1 Co 2.43

ΔE_f, eV/atom: -0.221
Space-group type: No. 13

PmCdSnBi: optimized geometry, GGA-PBE.

Cell: 4.4883 4.9004 4.9993 Å, 90.00 90.00 90.00°
With the nearest neighbours (Å) after each atom.
Element x y z (fractional)
Pm (0.0000, 0.0000, 0.0000)  4 Sn 3.32, 4 Bi 3.36, 4 Cd 3.50
Cd (0.0000, 0.5000, 0.5000)  4 Bi 3.32, 4 Sn 3.36, 4 Pm 3.50
Sn (0.5000, 0.5000, 0.0000)  4 Pm 3.32, 4 Cd 3.36, 4 Bi 3.50
Bi (0.5000, 0.0000, 0.5000)  4 Cd 3.32, 4 Pm 3.36, 4 Sn 3.50

ΔE_f, eV/atom: -0.459
Space-group type: No. 47
Polymorph energy (0 for the lowest one), eV per atom: 0.0000

Number 1: D(E_F) 5.10 states/eV/f.u.. Number 2: D(E_F) 3.71 states/eV/f.u.. Number 3: D(E_F) 1.57 states/eV/f.u..